DFT (PBE) results for a geometry-optimized RbBePb structure.

a = 4.037 Å, b = 6.264 Å, c = 8.149 Å
α = 90.00°, β = 103.48°, γ = 90.00°
Positions (direct):
Rb 0.000 0.000 0.000
Rb 0.500 0.006 0.500
Be 0.279 0.498 0.057
Be 0.721 0.498 0.943
Pb 0.132 0.505 0.729
Pb 0.868 0.505 0.271

Properties
**E**: -2.57 eV per atom
**Calculated volume**: 200.40 Å³ per cell
**Energy of formation from the pure elements**: 0.68 eV/f.u.